1.
Compound: K3CdH6
Source: Alexandria via LeMat-Bulk
Functional: GGA-PBE
Structure: optimized geometry

Cell lengths 7.118, 6.385, 7.729 Å; angles 90.00, 72.66, 90.00 degrees
Fractional positions:
K (0.500, 0.500, 0.000)
H (0.876, 0.901, 0.228)
K (0.514, 0.997, 0.249)
H (0.758, 0.825, 0.898)
K (0.486, 0.003, 0.751)
H (0.742, 0.325, 0.602)
Cd (0.500, 0.500, 0.500)
H (0.331, 0.264, 0.550)
K (0.000, 0.000, 0.500)
H (0.258, 0.675, 0.398)
Cd (0.000, 0.000, 0.000)
K (0.014, 0.503, 0.749)
H (0.376, 0.599, 0.728)
H (0.831, 0.236, 0.050)
H (0.124, 0.099, 0.772)
H (0.624, 0.401, 0.272)
H (0.169, 0.764, 0.950)
H (0.669, 0.736, 0.450)
H (0.242, 0.175, 0.102)
K (0.986, 0.497, 0.251)

Properties
Electronic total energy in eV/atom: -2.376
V in Å³ per cell: 335.3
N(E_F) in states/eV/cell: 3.9

=====

2.
Compound: Co2PbW
Source: Alexandria via LeMat-Bulk
Functional: GGA-PBE
Structure: optimized geometry

Cell lengths 4.584, 4.584, 4.780 Å; angles 79.33, 79.33, 39.81 degrees
Fractional positions:
Co (0.259, 0.259, 0.217)
W (0.733, 0.733, 0.847)
Co (0.005, 0.005, 0.969)
Pb (0.503, 0.503, 0.467)

Properties
Electronic total energy in eV/atom: -7.166
V in Å³ per cell: 63.0
N(E_F) in states/eV/cell: 4.6
Energy of formation in eV per atom: 0.552